Record 1
This record from the Alexandria database describes Mn5H4 after structural relaxation. The functional is PBE-GGA.

Lattice parameters (Å, degrees): 4.709 4.709 6.816 118.60 118.60 32.93
Sites, in units of the cell vectors:
Mn  0.000  0.000  0.000
Mn  0.226  0.226  0.825
Mn  0.392  0.392  0.606
Mn  0.608  0.608  0.394
Mn  0.774  0.774  0.175
H  0.012  0.012  0.757
H  0.390  0.390  0.349
H  0.610  0.610  0.651
H  0.988  0.988  0.243

***

Record 2
This record from the Alexandria database describes CeTc4As2 after structural relaxation. The functional is PBE-GGA.

Calculated values
As for the energy of formation: -49 kJ per mole of atoms.

Lattice parameters (Å, degrees): 7.519 7.519 4.071 90.00 90.00 148.09
Sites, in units of the cell vectors:
Ce  0.000  0.000  0.000
Tc  0.189  0.811  0.500
Tc  0.304  0.696  0.000
Tc  0.696  0.304  0.000
Tc  0.811  0.189  0.500
As  0.410  0.590  0.500
As  0.590  0.410  0.500

***

Record 3
This record from the Alexandria database describes Cs2UAs2O9 after structural relaxation. The functional is PBE-GGA.

Calculated values
Its formation energy (no corrections) is -2.0250 eV per atom.

Lattice parameters (Å, degrees): 13.176 13.473 6.422 90.00 90.00 90.00
Sites, in units of the cell vectors:
Cs  0.073  0.250  0.009
Cs  0.250  0.573  0.987
Cs  0.250  0.927  0.987
Cs  0.427  0.250  0.009
Cs  0.573  0.750  0.991
Cs  0.750  0.073  0.013
Cs  0.750  0.427  0.013
Cs  0.927  0.750  0.991
U  0.000  0.000  0.500
U  0.000  0.500  0.500
U  0.500  0.000  0.500
U  0.500  0.500  0.500
As  0.126  0.750  0.486
As  0.250  0.129  0.493
As  0.250  0.371  0.493
As  0.374  0.750  0.486
As  0.626  0.250  0.514
As  0.750  0.629  0.507
As  0.750  0.871  0.507
As  0.874  0.250  0.514
O  0.052  0.514  0.238
O  0.052  0.986  0.238
O  0.070  0.648  0.604
O  0.070  0.852  0.604
O  0.130  0.750  0.227
O  0.145  0.078  0.612
O  0.145  0.422  0.612
O  0.250  0.133  0.235
O  0.250  0.250  0.616
O  0.250  0.367  0.235
O  0.250  0.750  0.608
O  0.355  0.078  0.612
O  0.355  0.422  0.612
O  0.370  0.750  0.227
O  0.430  0.648  0.604
O  0.430  0.852  0.604
O  0.448  0.514  0.238
O  0.448  0.986  0.238
O  0.552  0.014  0.762
O  0.552  0.486  0.762
O  0.570  0.148  0.396
O  0.570  0.352  0.396
O  0.630  0.250  0.773
O  0.645  0.578  0.388
O  0.645  0.922  0.388
O  0.750  0.250  0.392
O  0.750  0.633  0.765
O  0.750  0.750  0.384
O  0.750  0.867  0.765
O  0.855  0.578  0.388
O  0.855  0.922  0.388
O  0.870  0.250  0.773
O  0.930  0.148  0.396
O  0.930  0.352  0.396
O  0.948  0.014  0.762
O  0.948  0.486  0.762

***

Record 4
This record from the Alexandria database describes Ho8Si3PSe3 after structural relaxation. The functional is PBE-GGA.

Calculated values
Its formation energy (no corrections) is -1.2233 eV per atom.

Lattice parameters (Å, degrees): 8.132 8.132 8.132 59.97 59.97 59.97
Sites, in units of the cell vectors:
Ho  0.245  0.745  0.745
Ho  0.246  0.246  0.246
Ho  0.255  0.255  0.755
Ho  0.255  0.755  0.255
Ho  0.745  0.245  0.745
Ho  0.745  0.745  0.245
Ho  0.754  0.754  0.754
Ho  0.755  0.255  0.255
Si  0.000  0.000  0.500
Si  0.000  0.500  0.000
Si  0.500  0.000  0.000
P  0.500  0.500  0.500
Se  0.000  0.500  0.500
Se  0.500  0.000  0.500
Se  0.500  0.500  0.000

***

Record 5
This record from the Alexandria database describes Tb3CeEr2Se6 after structural relaxation. The functional is PBE-GGA.

Calculated values
Its formation energy (no corrections) is -1.7579 eV per atom.

Lattice parameters (Å, degrees): 9.145 9.145 8.237 102.82 102.82 25.74
Sites, in units of the cell vectors:
Tb  0.000  0.000  0.000
Tb  0.337  0.337  0.666
Tb  0.663  0.663  0.334
Ce  0.000  0.000  0.500
Er  0.336  0.336  0.171
Er  0.664  0.664  0.829
Se  0.169  0.169  0.080
Se  0.171  0.171  0.589
Se  0.498  0.498  0.242
Se  0.502  0.502  0.758
Se  0.829  0.829  0.411
Se  0.831  0.831  0.920

***

Record 6
This record from the Alexandria database describes Sm2TlCuO5 after structural relaxation. The functional is PBE-GGA.

Calculated values
Its formation energy (no corrections) is -2.0974 eV per atom.

Lattice parameters (Å, degrees): 6.760 6.760 5.666 90.00 90.00 90.00
Sites, in units of the cell vectors:
Sm  0.177  0.323  0.000
Sm  0.323  0.823  0.000
Sm  0.677  0.177  0.000
Sm  0.823  0.677  0.000
Tl  0.000  0.000  0.500
Tl  0.500  0.500  0.500
Cu  0.000  0.500  0.500
Cu  0.500  0.000  0.500
O  0.000  0.000  0.000
O  0.128  0.628  0.251
O  0.128  0.628  0.749
O  0.372  0.128  0.251
O  0.372  0.128  0.749
O  0.500  0.500  0.000
O  0.628  0.872  0.251
O  0.628  0.872  0.749
O  0.872  0.372  0.251
O  0.872  0.372  0.749

***

Number 1: volume 71.19 Å³/f.u., VASP energy -6.4783 eV per atom. Number 2: volume 121.66 Å³/f.u., VASP energy -8.6111 eV per atom. Number 3: volume 284.99 Å³/f.u., VASP energy -6.8049 eV per atom. Number 4: volume 380.03 Å³/f.u., VASP energy -5.8069 eV per atom. Number 5: volume 291.32 Å³/f.u., VASP energy -5.9127 eV per atom. Number 6: volume 129.46 Å³/f.u., VASP energy -6.6187 eV per atom.